[1]
ThAl2Hg after structural relaxation, computed with PBE-GGA.

The energy above the most stable polymorph in this dataset is 0 meV per atom.

The space group is P4/mmm (No. 123) and the conventional cell measures 4.5847, 4.5847 and 4.3917 Å, with angles of 90.00, 90.00 and 90.00 degrees. The inequivalent atoms are Th at (0.0000, 0.0000, 0.0000), Al at (0.0000, 0.5000, 0.5000) and Hg at (0.5000, 0.5000, 0.0000).



[2]
Te2PtRh after structural relaxation, computed with PBE-GGA.

The energy above the most stable polymorph in this dataset is 725 meV per atom. For the uncorrected formation energy, the calculation gives 45.4 kJ per mole of atoms.

The space group is F-43m (No. 216) and the conventional cell measures 6.8682, 6.8682 and 6.8682 Å, with angles of 90.00, 90.00 and 90.00 degrees. The inequivalent atoms are Te at (0.0000, 0.0000, 0.0000), Te at (0.2500, 0.2500, 0.2500), Pt at (0.0000, 0.0000, 0.5000) and Rh at (0.2500, 0.2500, 0.7500).



[3]
Pm7Nd4Th after structural relaxation, computed with PBE-GGA.

The space group is P-1 (No. 2) and the conventional cell measures 6.3731, 7.3699 and 9.1092 Å, with angles of 89.97, 76.48 and 89.98 degrees. The inequivalent atoms are Pm at (0.0000, 0.0000, 0.0000), Pm at (0.2192, 0.5002, 0.3267), Pm at (0.2742, 0.7456, 0.6720), Pm at (0.5001, 0.2560, 0.0003), Nd at (0.2238, 0.0005, 0.3342), Nd at (0.2743, 0.2532, 0.6717) and Th at (0.0000, 0.5000, 0.0000).



[4]
Th2SiS after structural relaxation, computed with PBE-GGA.

The energy above the most stable polymorph in this dataset is 12 meV per atom. For the uncorrected formation energy, the calculation gives -123.1 kJ per mole of atoms.

The space group is R-3m (No. 166, hexagonal axes) and the conventional cell measures 4.2089, 4.2089 and 20.0226 Å, with angles of 90.00, 90.00 and 120.00 degrees. The inequivalent atoms are Th at (0.0000, 0.0000, 0.2499), Si at (0.0000, 0.0000, 0.0000) and S at (0.0000, 0.0000, 0.5000).



[5]
Ac3NdDy2Se6 after structural relaxation, computed with PBE-GGA.

For the uncorrected formation energy, the calculation gives -175.2 kJ per mole of atoms.

The space group is C2/m (No. 12) and the conventional cell measures 7.3071, 12.6990 and 7.6503 Å, with angles of 90.00, 108.69 and 90.00 degrees. The inequivalent atoms are Ac at (0.0000, 0.0000, 0.0000), Ac at (0.0000, 0.3372, 0.0000), Nd at (0.0000, 0.5000, 0.5000), Dy at (0.0000, 0.1669, 0.5000), Se at (0.2315, 0.0000, 0.7218) and Se at (0.2462, 0.3289, 0.7257).



[6]
AcPm6NdHo2 after structural relaxation, computed with PBE-GGA.

The space group is C2/c (No. 15) and the conventional cell measures 9.3993, 15.4242 and 9.7910 Å, with angles of 90.00, 96.05 and 90.00 degrees. The inequivalent atoms are Ac at (0.0000, 0.0312, 0.2500), Pm at (0.0660, 0.1824, 0.9447), Pm at (0.0975, 0.3905, 0.1190), Pm at (0.2158, 0.2302, 0.3207), Nd at (0.0000, 0.4091, 0.7500) and Ho at (0.2457, 0.4464, 0.4521).



[7]
PuZn11Pd after structural relaxation, computed with PBE-GGA.

The space group is C2/m (No. 12) and the conventional cell measures 5.0861, 12.7988 and 6.8896 Å, with angles of 90.00, 111.50 and 90.00 degrees. The inequivalent atoms are Pu at (0.0000, 0.0000, 0.0000), Zn at (0.0000, 0.5000, 0.5000), Zn at (0.1063, 0.3922, 0.2152), Zn at (0.1690, 0.1749, 0.3548), Zn at (0.2500, 0.2500, 0.0000) and Pd at (0.0000, 0.0000, 0.5000).



[8]
La2Nd after structural relaxation, computed with PBE-GGA.

The energy above the most stable polymorph in this dataset is 190 meV per atom.

The space group is Fd-3m (No. 227, origin choice 2) and the conventional cell measures 9.5840, 9.5840 and 9.5840 Å, with angles of 90.00, 90.00 and 90.00 degrees. The inequivalent atoms are La at (0.0000, 0.0000, 0.0000) and Nd at (0.1250, 0.1250, 0.6250).



[9]
Sm3Ho2Tm3 after structural relaxation, computed with PBE-GGA.

The energy above the most stable polymorph in this dataset is 52 meV per atom.

The space group is Cmcm (No. 63) and the conventional cell measures 5.4899, 11.7544 and 16.1416 Å, with angles of 90.00, 90.00 and 90.00 degrees. The inequivalent atoms are Sm at (0.0000, 0.0399, 0.2500), Sm at (0.0000, 0.1139, 0.5530), Ho at (0.0000, 0.2760, 0.1310), Tm at (0.0000, 0.2411, 0.7500) and Tm at (0.0000, 0.4187, 0.5872).



[10]
PaTcOs after structural relaxation, computed with PBE-GGA.

The energy above the most stable polymorph in this dataset is 0 meV per atom.

The space group is Amm2 (No. 38) and the conventional cell measures 8.4221, 5.3750 and 9.6665 Å, with angles of 90.00, 90.00 and 90.00 degrees. The inequivalent atoms are Pa at (0.1744, 0.0000, 0.0000), Pa at (0.3239, 0.0000, 0.6640), Tc at (0.2501, 0.0000, 0.3334), Tc at (0.5000, 0.2431, 0.9162), Os at (0.0000, 0.0000, 0.5026), Os at (0.0000, 0.2440, 0.7478) and Os at (0.5000, 0.0000, 0.1605).



[11]
Ba4Zr3TlO12 after structural relaxation, computed with PBE-GGA.

For the uncorrected formation energy, the calculation gives -263.4 kJ per mole of atoms.

The space group is Im-3m (No. 229) and the conventional cell measures 8.5814, 8.5814 and 8.5814 Å, with angles of 90.00, 90.00 and 90.00 degrees. The inequivalent atoms are Ba at (0.2500, 0.2500, 0.2500), Zr at (0.0000, 0.0000, 0.5000), Tl at (0.0000, 0.0000, 0.0000), O at (0.0000, 0.0000, 0.2590) and O at (0.0000, 0.2500, 0.5000).



[12]
Li4PrSi2 after structural relaxation, computed with PBE-GGA.

For the uncorrected formation energy, the calculation gives -30.5 kJ per mole of atoms.

The space group is P2/m (No. 10) and the conventional cell measures 4.0266, 4.2743 and 8.3307 Å, with angles of 90.00, 103.64 and 90.00 degrees. The inequivalent atoms are Li at (0.1701, 0.0000, 0.3443), Li at (0.3262, 0.5000, 0.6455), Pr at (0.5000, 0.0000, 0.0000) and Si at (0.0710, 0.5000, 0.1449).



no.,magnetic moment (μB per atom),energy (eV/atom)
1,0.000,-4.041
2,0.000,-4.449
3,0.000,-4.958
4,0.000,-7.374
5,0.000,-5.749
6,0.000,-4.533
7,0.450,-2.759
8,0.000,-4.668
9,0.000,-4.445
10,0.000,-10.624
11,0.000,-7.490
12,0.000,-3.642